[1]
A plane-wave DFT calculation with PBE-GGA was carried out for ScTi2SiP after structural relaxation.

Crystal system ... tetragonal
E_form (uncorrected) ... 1.229 eV per atom
Theoretical density ... 3.20 Mg/m³
Energy ... -5.362 eV/atom

abc: 4.659 4.777 4.659
angles: 90.00 90.00 90.00
Sites, in units of the cell vectors:
1 P 0.500 0.500 0.500
2 Ti 0.500 0.000 0.000
3 Ti 0.000 0.000 0.500
4 Si 0.000 0.500 0.000
5 Sc 0.000 0.000 0.000

[2]
A plane-wave DFT calculation with PBE-GGA was carried out for ScTlSi2P after structural relaxation.

Crystal system ... tetragonal
E_form (uncorrected) ... 1.300 eV per atom
Theoretical density ... 4.09 Mg/m³
Energy ... -3.691 eV/atom

abc: 4.957 5.553 4.957
angles: 90.00 90.00 90.00
Sites, in units of the cell vectors:
1 Tl 0.000 0.000 0.000
2 Sc 0.000 0.500 0.000
3 Si 0.000 0.000 0.500
4 Si 0.500 0.000 0.000
5 P 0.500 0.500 0.500

[3]
A plane-wave DFT calculation with PBE-GGA was carried out for Sm4ScP5 after structural relaxation.

Energy relative to the lowest polymorph listed for this composition ... 0.00 eV/f.u.
Crystal system ... tetragonal
Theoretical density ... 5.68 Mg/m³
Energy of formation from the pure elements ... -146.6 kJ/mol of atoms
Energy ... -6.745 eV/atom

abc: 5.739 7.004 7.004
angles: 80.34 65.81 65.81
Sites, in units of the cell vectors:
1 P 0.711 0.193 0.386
2 P 0.291 0.807 0.614
3 P 0.904 0.386 0.807
4 P 0.098 0.614 0.193
5 P 0.501 0.000 0.000
6 Sc 0.001 0.000 0.000
7 Sm 0.202 0.202 0.397
8 Sm 0.598 0.603 0.202
9 Sm 0.404 0.397 0.798
10 Sm 0.800 0.798 0.603

[4]
A plane-wave DFT calculation with PBE-GGA was carried out for SmSc5P6 after structural relaxation.

Crystal system ... monoclinic
Theoretical density ... 3.94 Mg/m³
Energy of formation from the pure elements ... -142.4 kJ/mol of atoms
Energy ... -7.212 eV/atom

abc: 6.619 6.620 6.619
angles: 60.00 80.36 70.44
Sites, in units of the cell vectors:
1 P 0.744 0.740 0.000
2 P 0.256 0.260 0.000
3 P 0.258 0.568 0.345
4 P 0.742 0.432 0.655
5 P 0.258 0.914 0.655
6 P 0.742 0.086 0.345
7 Sc 0.000 0.667 0.665
8 Sc 0.500 0.164 0.672
9 Sc 0.500 0.836 0.328
10 Sc 0.500 0.500 0.000
11 Sc 0.000 0.333 0.335
12 Sm 0.000 0.000 0.000

[5]
A plane-wave DFT calculation with PBE-GGA was carried out for SmSc2P after structural relaxation.

Crystal system ... trigonal
Theoretical density ... 4.50 Mg/m³
Energy of formation from the pure elements ... -63.7 kJ/mol of atoms
Energy ... -6.358 eV/atom

abc: 3.619 3.619 9.065
angles: 78.48 78.48 60.00
Sites, in units of the cell vectors:
1 P 0.000 0.000 0.000
2 Sc 0.723 0.723 0.830
3 Sc 0.277 0.277 0.170
4 Sm 0.500 0.500 0.500

[6]
A plane-wave DFT calculation with PBE-GGA was carried out for Sm4ScP5 after structural relaxation.

Energy relative to the lowest polymorph listed for this composition ... 0.05 eV/f.u.
Crystal system ... tetragonal
Theoretical density ... 5.67 Mg/m³
Energy of formation from the pure elements ... -146.1 kJ/mol of atoms
Energy ... -6.740 eV/atom

abc: 4.057 4.057 14.546
angles: 98.02 98.02 90.00
Sites, in units of the cell vectors:
1 Sm 0.801 0.801 0.603
2 Sm 0.199 0.199 0.397
3 Sm 0.402 0.402 0.805
4 Sm 0.598 0.598 0.195
5 P 0.699 0.699 0.399
6 P 0.095 0.095 0.191
7 P 0.905 0.905 0.809
8 P 0.301 0.301 0.601
9 P 0.500 0.500 0.000
10 Sc 0.000 0.000 0.000

[7]
A plane-wave DFT calculation with PBE-GGA was carried out for TbSmSc2P4 after structural relaxation.

Crystal system ... monoclinic
Theoretical density ... 5.12 Mg/m³
Energy of formation from the pure elements ... -146.3 kJ/mol of atoms
Energy ... -6.973 eV/atom

abc: 3.923 6.763 6.791
angles: 70.43 90.00 90.00
Sites, in units of the cell vectors:
1 Tb 0.000 0.500 0.500
2 P 0.500 0.232 0.754
3 P 0.500 0.768 0.246
4 P 0.000 0.770 0.741
5 P 0.000 0.230 0.259
6 Sc 0.500 0.000 0.500
7 Sc 0.000 0.000 0.000
8 Sm 0.500 0.500 0.000

[8]
A plane-wave DFT calculation with PBE-GGA was carried out for TbSm2ScP4 after structural relaxation.

Crystal system ... monoclinic
Theoretical density ... 5.74 Mg/m³
Energy of formation from the pure elements ... -147.8 kJ/mol of atoms
Energy ... -6.787 eV/atom

abc: 4.011 6.936 6.930
angles: 109.50 90.00 90.00
Sites, in units of the cell vectors:
1 P 0.500 0.238 0.235
2 P 0.000 0.754 0.240
3 P 0.000 0.246 0.760
4 P 0.500 0.762 0.765
5 Tb 0.500 0.500 0.000
6 Sc 0.000 0.000 0.000
7 Sm 0.500 0.000 0.500
8 Sm 0.000 0.500 0.500

[9]
A plane-wave DFT calculation with PBE-GGA was carried out for SmScTeP after structural relaxation.

Crystal system ... trigonal
E_form (uncorrected) ... -1.415 eV per atom
Theoretical density ... 5.90 Mg/m³
Energy ... -6.315 eV/atom

abc: 4.009 4.009 7.521
angles: 90.00 105.46 120.00
Sites, in units of the cell vectors:
1 Te 0.980 0.388 0.384
2 Sc 0.497 0.147 0.659
3 P 0.293 0.544 0.852
4 Sm 0.108 0.952 0.075

[10]
A plane-wave DFT calculation with PBE-GGA was carried out for Sm3Th2ScP6 after structural relaxation.

Crystal system ... monoclinic
Theoretical density ... 6.63 Mg/m³
Energy of formation from the pure elements ... -148.7 kJ/mol of atoms
Energy ... -7.190 eV/atom

abc: 4.084 8.140 9.114
angles: 103.21 102.95 90.00
Sites, in units of the cell vectors:
1 Th 0.837 0.672 0.673
2 Th 0.163 0.328 0.327
3 Sc 0.500 0.000 0.000
4 P 0.667 0.583 0.334
5 P 0.333 0.417 0.666
6 P 0.339 0.921 0.678
7 P 0.999 0.236 0.997
8 P 0.001 0.764 0.003
9 P 0.661 0.079 0.322
10 Sm 0.500 0.500 0.000
11 Sm 0.833 0.165 0.667
12 Sm 0.167 0.835 0.333

[11]
A plane-wave DFT calculation with PBE-GGA was carried out for Sm2ThScP4 after structural relaxation.

Crystal system ... monoclinic
Theoretical density ... 6.23 Mg/m³
Energy of formation from the pure elements ... -147.6 kJ/mol of atoms
Energy ... -7.134 eV/atom

abc: 4.054 6.969 7.021
angles: 109.44 90.00 90.00
Sites, in units of the cell vectors:
1 P 0.500 0.236 0.236
2 P 0.000 0.242 0.756
3 P 0.500 0.764 0.764
4 P 0.000 0.758 0.244
5 Sc 0.000 0.000 0.000
6 Sm 0.000 0.500 0.500
7 Sm 0.500 0.000 0.500
8 Th 0.500 0.500 0.000

[12]
A plane-wave DFT calculation with PBE-GGA was carried out for SmThSc2P4 after structural relaxation.

Crystal system ... monoclinic
Theoretical density ... 5.68 Mg/m³
Energy of formation from the pure elements ... -146.2 kJ/mol of atoms
Energy ... -7.321 eV/atom

abc: 3.968 6.790 6.865
angles: 70.36 90.00 90.00
Sites, in units of the cell vectors:
1 P 0.000 0.227 0.258
2 P 0.500 0.771 0.243
3 P 0.000 0.773 0.742
4 P 0.500 0.229 0.757
5 Sc 0.000 0.000 0.000
6 Sc 0.500 0.000 0.500
7 Th 0.500 0.500 0.000
8 Sm 0.000 0.500 0.500

[13]
A plane-wave DFT calculation with PBE-GGA was carried out for SmTm2Sc3P6 after structural relaxation.

Crystal system ... monoclinic
Theoretical density ... 5.41 Mg/m³
Energy of formation from the pure elements ... -146.8 kJ/mol of atoms
Energy ... -6.948 eV/atom

abc: 6.730 6.730 6.710
angles: 99.62 99.62 120.00
Sites, in units of the cell vectors:
1 P 0.573 0.912 0.735
2 P 0.749 0.749 0.264
3 P 0.088 0.427 0.265
4 P 0.251 0.251 0.736
5 P 0.427 0.088 0.265
6 P 0.912 0.573 0.735
7 Sc 0.500 0.500 0.500
8 Sc 0.835 0.165 0.500
9 Sc 0.165 0.835 0.500
10 Tm 0.333 0.667 0.000
11 Tm 0.667 0.333 0.000
12 Sm 0.000 0.000 0.000

[14]
A plane-wave DFT calculation with PBE-GGA was carried out for SmTmSc2P4 after structural relaxation.

Crystal system ... monoclinic
Theoretical density ... 5.29 Mg/m³
Energy of formation from the pure elements ... -146.2 kJ/mol of atoms
Energy ... -6.952 eV/atom

abc: 3.902 6.734 6.753
angles: 70.45 90.00 90.00
Sites, in units of the cell vectors:
1 Sm 0.500 0.500 0.000
2 Sc 0.500 0.000 0.500
3 Sc 0.000 0.000 0.000
4 P 0.000 0.768 0.739
5 P 0.500 0.765 0.250
6 P 0.000 0.232 0.261
7 P 0.500 0.235 0.750
8 Tm 0.000 0.500 0.500

[15]
A plane-wave DFT calculation with PBE-GGA was carried out for Sm2YScP4 after structural relaxation.

Crystal system ... monoclinic
Theoretical density ... 5.12 Mg/m³
Energy of formation from the pure elements ... -148.3 kJ/mol of atoms
Energy ... -7.022 eV/atom

abc: 4.007 6.931 6.921
angles: 109.51 90.00 90.00
Sites, in units of the cell vectors:
1 P 0.000 0.753 0.239
2 P 0.500 0.238 0.234
3 P 0.500 0.762 0.766
4 P 0.000 0.247 0.761
5 Y 0.500 0.500 0.000
6 Sm 0.000 0.500 0.500
7 Sm 0.500 0.000 0.500
8 Sc 0.000 0.000 0.000

[16]
A plane-wave DFT calculation with PBE-GGA was carried out for SmY2ScP4 after structural relaxation.

Crystal system ... monoclinic
Theoretical density ... 4.63 Mg/m³
Energy of formation from the pure elements ... -149.3 kJ/mol of atoms
Energy ... -7.249 eV/atom

abc: 3.984 6.886 6.893
angles: 109.47 90.00 90.00
Sites, in units of the cell vectors:
1 P 0.500 0.762 0.758
2 P 0.000 0.241 0.751
3 P 0.500 0.238 0.242
4 P 0.000 0.759 0.249
5 Sc 0.000 0.000 0.000
6 Sm 0.500 0.500 0.000
7 Y 0.500 0.000 0.500
8 Y 0.000 0.500 0.500

[17]
A plane-wave DFT calculation with PBE-GGA was carried out for SmZr2ScP4 after structural relaxation.

Crystal system ... monoclinic
Theoretical density ... 5.22 Mg/m³
Energy of formation from the pure elements ... -137.1 kJ/mol of atoms
Energy ... -7.644 eV/atom

abc: 3.817 6.615 6.699
angles: 109.26 90.00 90.00
Sites, in units of the cell vectors:
1 Zr 0.000 0.500 0.500
2 Zr 0.500 0.000 0.500
3 P 0.500 0.757 0.744
4 P 0.500 0.243 0.256
5 P 0.000 0.236 0.736
6 P 0.000 0.764 0.264
7 Sc 0.000 0.000 0.000
8 Sm 0.500 0.500 0.000

[18]
A plane-wave DFT calculation with PBE-GGA was carried out for ScSn3P after structural relaxation.

Energy relative to the lowest polymorph listed for this composition ... 0.00 eV/f.u.
Crystal system ... cubic
Theoretical density ... 5.15 Mg/m³
Energy of formation from the pure elements ... 35.9 kJ/mol of atoms
Energy ... -4.378 eV/atom

abc: 5.182 5.182 5.182
angles: 90.00 90.00 90.00
Sites, in units of the cell vectors:
1 Sn 0.000 0.500 0.000
2 Sn 0.500 0.000 0.000
3 Sn 0.000 0.000 0.500
4 P 0.000 0.000 0.000
5 Sc 0.500 0.500 0.500

[19]
A plane-wave DFT calculation with PBE-GGA was carried out for ScSnP2 after structural relaxation.

Crystal system ... tetragonal
Theoretical density ... 3.45 Mg/m³
Energy of formation from the pure elements ... -38.0 kJ/mol of atoms
Energy ... -5.682 eV/atom

abc: 6.012 6.012 7.355
angles: 65.87 65.87 90.00
Sites, in units of the cell vectors:
1 P 0.134 0.625 0.250
2 P 0.875 0.866 0.750
3 P 0.375 0.384 0.750
4 P 0.616 0.125 0.250
5 Sn 0.000 0.000 0.000
6 Sn 0.750 0.250 0.500
7 Sc 0.250 0.750 0.500
8 Sc 0.500 0.500 0.000

[20]
A plane-wave DFT calculation with PBE-GGA was carried out for ScSnP3 after structural relaxation.

Energy relative to the lowest polymorph listed for this composition ... 0.00 eV/f.u.
Crystal system ... cubic
Theoretical density ... 3.53 Mg/m³
Energy of formation from the pure elements ... 30.5 kJ/mol of atoms
Energy ... -4.997 eV/atom

abc: 4.940 4.940 4.940
angles: 90.00 90.00 90.00
Sites, in units of the cell vectors:
1 P 0.000 0.500 0.000
2 P 0.000 0.000 0.500
3 P 0.500 0.000 0.000
4 Sn 0.500 0.500 0.500
5 Sc 0.000 0.000 0.000